[1]
{"formula": "ThSnPd2", "functional": "PBE", "state": "relaxed", "cell": [[-0.354, -1.321, 3.131], [2.502, -2.232, -0.658], [4.900, 4.740, 2.555]], "species": ["Th", "Pd", "Pd", "Sn"], "fractional_positions": [[0.500, 0.500, 0.500], [0.000, 0.000, 0.778], [0.000, 0.000, 0.222], [0.500, 0.500, 0.000]], "dft_energy_ev_per_cell": -24.0}

---

[2]
{"formula": "Th2Sn5Pd3", "functional": "PBE", "state": "relaxed", "cell": [[-4.374, -1.050, 1.146], [1.736, -7.541, -0.280], [5.417, 0.801, 12.011]], "species": ["Pd", "Pd", "Pd", "Pd", "Pd", "Pd", "Th", "Th", "Th", "Th", "Sn", "Sn", "Sn", "Sn", "Sn", "Sn", "Sn", "Sn", "Sn", "Sn"], "fractional_positions": [[0.047, 0.942, 0.093], [0.224, 0.204, 0.447], [0.605, 0.554, 0.211], [0.395, 0.054, 0.789], [0.953, 0.442, 0.907], [0.776, 0.704, 0.553], [0.478, 0.763, 0.957], [0.829, 0.238, 0.658], [0.522, 0.263, 0.043], [0.171, 0.738, 0.342], [0.950, 0.077, 0.900], [0.701, 0.423, 0.402], [0.400, 0.422, 0.799], [0.050, 0.577, 0.100], [0.284, 0.508, 0.568], [0.299, 0.923, 0.598], [0.882, 0.733, 0.763], [0.118, 0.233, 0.237], [0.716, 0.008, 0.432], [0.600, 0.922, 0.201]], "dft_energy_ev_per_cell": -113.0}

---

[3]
{"formula": "ThSn2Pd", "functional": "PBE", "state": "relaxed", "cell": [[-1.703, -3.527, 2.476], [0.713, -5.633, -7.534], [8.837, 2.302, 5.022]], "species": ["Sn", "Sn", "Sn", "Sn", "Sn", "Sn", "Sn", "Sn", "Th", "Th", "Th", "Th", "Pd", "Pd", "Pd", "Pd"], "fractional_positions": [[0.697, 0.353, 0.393], [0.924, 0.424, 0.848], [0.922, 0.922, 0.843], [0.076, 0.576, 0.152], [0.697, 0.040, 0.393], [0.303, 0.647, 0.607], [0.303, 0.960, 0.607], [0.078, 0.078, 0.157], [0.299, 0.299, 0.598], [0.701, 0.701, 0.402], [0.500, 0.746, 0.000], [0.500, 0.254, 0.000], [0.852, 0.598, 0.705], [0.852, 0.106, 0.705], [0.148, 0.402, 0.295], [0.148, 0.894, 0.295]], "dft_energy_ev_per_cell": -92.4}

---

[4]
{"formula": "Th3SnPd12", "functional": "PBE", "state": "relaxed", "cell": [[-4.075, -0.262, -0.950], [0.986, -1.042, -3.940], [0.040, -16.034, 4.249]], "species": ["Pd", "Pd", "Pd", "Pd", "Pd", "Pd", "Pd", "Pd", "Pd", "Pd", "Pd", "Pd", "Th", "Th", "Th", "Sn"], "fractional_positions": [[0.000, 0.500, 0.373], [0.000, 0.500, 0.880], [0.500, 0.000, 0.120], [0.500, 0.500, 0.754], [0.000, 0.500, 0.627], [0.500, 0.000, 0.627], [0.500, 0.000, 0.373], [0.500, 0.500, 0.500], [0.000, 0.500, 0.120], [0.500, 0.500, 0.246], [0.500, 0.500, 0.000], [0.500, 0.000, 0.880], [0.000, 0.000, 0.242], [0.000, 0.000, 0.500], [0.000, 0.000, 0.758], [0.000, 0.000, 0.000]], "dft_energy_ev_per_cell": -101.9}

---

[5]
{"formula": "ThSnPd3", "functional": "PBE", "state": "relaxed", "cell": [[5.258, 0.000, 0.000], [0.000, 5.521, 0.000], [0.000, 0.000, 7.766]], "species": ["Sn", "Sn", "Pd", "Pd", "Pd", "Pd", "Pd", "Pd", "Th", "Th"], "fractional_positions": [[0.000, 0.000, 0.500], [0.000, 0.500, 0.000], [0.000, 0.570, 0.329], [0.500, 0.500, 0.000], [0.000, 0.070, 0.171], [0.500, 0.000, 0.500], [0.000, 0.430, 0.671], [0.000, 0.930, 0.829], [0.500, 0.500, 0.500], [0.500, 0.000, 0.000]], "dft_energy_ev_per_cell": -58.9}

---

[6]
{"formula": "ThSn3Pd12", "functional": "PBE", "state": "relaxed", "cell": [[4.101, 0.000, 0.000], [0.000, 4.101, 0.000], [0.000, 0.000, 16.238]], "species": ["Pd", "Pd", "Pd", "Pd", "Pd", "Pd", "Pd", "Pd", "Pd", "Pd", "Pd", "Pd", "Sn", "Sn", "Sn", "Th"], "fractional_positions": [[0.500, 0.000, 0.131], [0.000, 0.500, 0.377], [0.500, 0.500, 0.000], [0.000, 0.500, 0.623], [0.500, 0.000, 0.623], [0.500, 0.000, 0.869], [0.500, 0.000, 0.377], [0.500, 0.500, 0.745], [0.000, 0.500, 0.131], [0.500, 0.500, 0.500], [0.000, 0.500, 0.869], [0.500, 0.500, 0.255], [0.000, 0.000, 0.744], [0.000, 0.000, 0.500], [0.000, 0.000, 0.256], [0.000, 0.000, 0.000]], "dft_energy_ev_per_cell": -91.6}

---

[7]
{"formula": "ThSn2Pd4", "functional": "PBE", "state": "relaxed", "cell": [[4.283, 0.000, 1.338], [1.933, 3.822, 1.338], [-0.420, -0.258, 8.867]], "species": ["Pd", "Pd", "Pd", "Pd", "Th", "Sn", "Sn"], "fractional_positions": [[0.599, 0.599, 0.202], [0.401, 0.401, 0.798], [0.131, 0.131, 0.607], [0.869, 0.869, 0.393], [0.000, 0.000, 0.000], [0.237, 0.237, 0.290], [0.763, 0.763, 0.710]], "dft_energy_ev_per_cell": -40.3}

---

[8]
{"formula": "ThSn2Pd", "functional": "PBE", "state": "relaxed", "cell": [[-4.557, -0.090, 0.462], [-0.218, -3.607, -2.850], [0.420, -2.857, 3.584]], "species": ["Sn", "Sn", "Th", "Pd"], "fractional_positions": [[0.000, 0.500, 0.000], [0.000, 0.000, 0.500], [0.500, 0.000, 0.000], [0.500, 0.500, 0.500]], "dft_energy_ev_per_cell": -22.7}

---

[9]
{"formula": "Th2Sn2Pd7", "functional": "PBE", "state": "relaxed", "cell": [[-3.143, -5.852, -1.160], [3.805, -1.298, -3.767], [3.952, -2.504, 4.856]], "species": ["Pd", "Pd", "Pd", "Pd", "Pd", "Pd", "Pd", "Sn", "Sn", "Th", "Th"], "fractional_positions": [[0.500, 0.250, 0.000], [0.000, 0.000, 0.000], [0.000, 0.750, 0.500], [0.500, 0.253, 0.500], [0.500, 0.747, 0.500], [0.000, 0.250, 0.500], [0.500, 0.750, 0.000], [0.267, 0.999, 0.733], [0.733, 0.001, 0.267], [0.787, 0.500, 0.787], [0.213, 0.500, 0.213]], "dft_energy_ev_per_cell": -63.8}

---

[10]
{"formula": "ThSnPd6", "functional": "PBE", "state": "relaxed", "cell": [[5.461, 0.000, 0.000], [2.730, 4.729, 0.000], [2.730, 1.576, 6.993]], "species": ["Pd", "Pd", "Pd", "Pd", "Pd", "Pd", "Sn", "Th"], "fractional_positions": [[0.440, 0.931, 0.697], [0.560, 0.069, 0.303], [0.931, 0.440, 0.697], [0.931, 0.931, 0.697], [0.069, 0.560, 0.303], [0.069, 0.069, 0.303], [0.000, 0.000, 0.000], [0.500, 0.500, 0.500]], "de_polymorph_mev_per_atom": 372, "dft_energy_ev_per_cell": -45.4}

---

[11]
{"formula": "ThSnPd4", "functional": "PBE", "state": "relaxed", "cell": [[-3.361, 3.798, 2.057], [-4.278, -3.285, -0.926], [0.968, -3.560, 8.154]], "species": ["Th", "Th", "Pd", "Pd", "Pd", "Pd", "Pd", "Pd", "Pd", "Pd", "Sn", "Sn"], "fractional_positions": [[0.000, 0.000, 0.500], [0.500, 0.500, 0.000], [0.500, 0.236, 0.745], [0.500, 0.764, 0.745], [0.764, 0.500, 0.255], [0.000, 0.264, 0.755], [0.736, 0.000, 0.245], [0.264, 0.000, 0.245], [0.236, 0.500, 0.255], [0.000, 0.736, 0.755], [0.500, 0.500, 0.500], [0.000, 0.000, 0.000]], "de_polymorph_mev_per_atom": 302, "dft_energy_ev_per_cell": -68.6}

---

[12]
{"formula": "Th2Sn8Pd", "functional": "PBE", "state": "relaxed", "cell": [[4.789, 0.000, 0.000], [0.000, 4.789, 0.000], [0.000, 0.000, 12.494]], "species": ["Pd", "Th", "Th", "Sn", "Sn", "Sn", "Sn", "Sn", "Sn", "Sn", "Sn"], "fractional_positions": [[0.000, 0.000, 0.000], [0.000, 0.000, 0.682], [0.000, 0.000, 0.318], [0.500, 0.000, 0.500], [0.500, 0.000, 0.874], [0.500, 0.000, 0.126], [0.000, 0.500, 0.500], [0.500, 0.500, 0.690], [0.000, 0.500, 0.874], [0.500, 0.500, 0.310], [0.000, 0.500, 0.126]], "dft_energy_ev_per_cell": -56.1}

---

[13]
{"formula": "ThSn6Pd12", "functional": "PBE", "state": "relaxed", "cell": [[-6.148, -1.877, -3.993], [2.708, -6.492, 2.791], [-2.529, 3.912, 5.964]], "species": ["Pd", "Pd", "Pd", "Pd", "Pd", "Pd", "Pd", "Pd", "Pd", "Pd", "Pd", "Pd", "Sn", "Sn", "Sn", "Sn", "Sn", "Sn", "Th"], "fractional_positions": [[0.882, 0.118, 0.500], [0.353, 0.111, 0.353], [0.118, 0.500, 0.882], [0.118, 0.882, 0.500], [0.500, 0.882, 0.118], [0.889, 0.647, 0.647], [0.500, 0.118, 0.882], [0.882, 0.500, 0.118], [0.353, 0.353, 0.111], [0.111, 0.353, 0.353], [0.647, 0.889, 0.647], [0.647, 0.647, 0.889], [0.278, 0.278, 0.691], [0.309, 0.722, 0.722], [0.691, 0.278, 0.278], [0.278, 0.691, 0.278], [0.722, 0.309, 0.722], [0.722, 0.722, 0.309], [0.000, 0.000, 0.000]], "dft_energy_ev_per_cell": -102.6}

---

[14]
{"formula": "ThSn2Pd", "functional": "PBE", "state": "relaxed", "cell": [[-4.137, -2.648, 2.156], [-0.030, -1.115, 5.247], [-3.209, 2.175, 3.186]], "species": ["Sn", "Sn", "Pd", "Th"], "fractional_positions": [[0.763, 0.763, 0.712], [0.237, 0.237, 0.288], [0.000, 0.000, 0.000], [0.500, 0.500, 0.500]], "dft_energy_ev_per_cell": -21.9}

---

[15]
{"formula": "ThSnPd4", "functional": "PBE", "state": "relaxed", "cell": [[5.451, 0.000, 0.000], [2.725, 4.721, 0.000], [2.725, 1.574, 4.451]], "species": ["Pd", "Pd", "Pd", "Pd", "Th", "Sn"], "fractional_positions": [[0.625, 0.625, 0.625], [0.625, 0.125, 0.625], [0.625, 0.625, 0.125], [0.125, 0.625, 0.625], [0.250, 0.250, 0.250], [0.000, 0.000, 0.000]], "de_polymorph_mev_per_atom": 0, "dft_energy_ev_per_cell": -36.1}

---

[16]
{"formula": "ThSnPd6", "functional": "PBE", "state": "relaxed", "cell": [[-3.817, -0.411, -1.597], [-0.868, -2.924, 2.827], [-2.754, 5.751, 5.102]], "species": ["Sn", "Pd", "Pd", "Pd", "Pd", "Pd", "Pd", "Th"], "fractional_positions": [[0.000, 0.000, 0.000], [0.500, 0.500, 0.000], [0.500, 0.000, 0.243], [0.000, 0.500, 0.757], [0.500, 0.000, 0.757], [0.000, 0.500, 0.243], [0.500, 0.500, 0.500], [0.000, 0.000, 0.500]], "de_polymorph_mev_per_atom": 0, "dft_energy_ev_per_cell": -48.3}

---

[17]
{"formula": "TmThSnPd", "functional": "PBE", "state": "relaxed", "cell": [[-3.868, 0.014, -3.523], [-0.348, -3.857, -3.518], [-3.862, -3.513, 0.342]], "species": ["Sn", "Tm", "Pd", "Th"], "fractional_positions": [[0.250, 0.250, 0.250], [0.500, 0.500, 0.500], [0.750, 0.750, 0.750], [0.000, 0.000, 0.000]], "dft_energy_ev_per_cell": -23.3}

---

[18]
{"formula": "Ti5SnPd2", "functional": "PBE", "state": "relaxed", "cell": [[6.649, 0.000, 0.000], [0.000, 6.649, 0.000], [-3.324, -3.324, 6.358]], "species": ["Ti", "Ti", "Ti", "Ti", "Ti", "Ti", "Ti", "Ti", "Ti", "Ti", "Sn", "Sn", "Pd", "Pd", "Pd", "Pd"], "fractional_positions": [[0.306, 0.806, 0.317], [0.806, 0.010, 0.317], [0.194, 0.990, 0.683], [0.010, 0.510, 0.317], [0.490, 0.694, 0.683], [0.500, 0.500, 0.000], [0.510, 0.306, 0.317], [0.990, 0.490, 0.683], [0.694, 0.194, 0.683], [0.000, 0.000, 0.000], [0.750, 0.750, 0.500], [0.250, 0.250, 0.500], [0.359, 0.859, 0.000], [0.141, 0.359, 0.000], [0.641, 0.141, 0.000], [0.859, 0.641, 0.000]], "dft_energy_ev_per_cell": -112.5}

---

[19]
{"formula": "Ti3SnPd6", "functional": "PBE", "state": "relaxed", "cell": [[-1.305, 3.399, 3.167], [-5.522, 3.322, -3.825], [-2.767, -8.742, 4.091]], "species": ["Ti", "Ti", "Ti", "Ti", "Ti", "Ti", "Pd", "Pd", "Pd", "Pd", "Pd", "Pd", "Pd", "Pd", "Pd", "Pd", "Pd", "Pd", "Sn", "Sn"], "fractional_positions": [[0.230, 0.356, 0.797], [0.779, 0.228, 0.995], [0.737, 0.473, 0.609], [0.263, 0.527, 0.391], [0.221, 0.772, 0.005], [0.770, 0.644, 0.203], [0.247, 0.838, 0.294], [0.227, 0.155, 0.189], [0.738, 0.942, 0.101], [0.773, 0.845, 0.811], [0.262, 0.058, 0.899], [0.732, 0.542, 0.911], [0.748, 0.360, 0.294], [0.252, 0.640, 0.706], [0.770, 0.742, 0.495], [0.753, 0.162, 0.706], [0.268, 0.458, 0.089], [0.230, 0.258, 0.505], [0.722, 0.066, 0.394], [0.278, 0.934, 0.606]], "de_polymorph_mev_per_atom": 0, "dft_energy_ev_per_cell": -128.9}

---

[20]
{"formula": "Ti3SnPd7", "functional": "PBE", "state": "relaxed", "cell": [[-3.751, -2.980, 1.040], [1.916, -0.487, -6.463], [5.922, -2.580, 1.989]], "species": ["Ti", "Ti", "Ti", "Pd", "Pd", "Pd", "Pd", "Pd", "Pd", "Pd", "Sn"], "fractional_positions": [[0.500, 0.000, 0.000], [0.000, 0.767, 0.233], [0.000, 0.233, 0.767], [0.818, 0.830, 0.830], [0.322, 0.606, 0.036], [0.000, 0.500, 0.500], [0.322, 0.036, 0.606], [0.678, 0.964, 0.394], [0.182, 0.170, 0.170], [0.678, 0.394, 0.964], [0.500, 0.500, 0.500]], "dft_energy_ev_per_cell": -67.9}

---

Energy relative to the elements values (in eV per atom) by entry order: -0.556; -0.609; -0.620; -0.832; -0.494; -0.616; -0.588; -0.510; -0.422; -0.347; -0.352; -0.368; -0.463; -0.322; -0.654; -0.719; -0.559; -0.298; -0.561; -0.352.